First-principles (GGA-PBE) data for an optimized crystal structure of InCoIr2, as listed in Alexandria.

Summary:
Final energy ... -6.61 eV per atom
Space-group type ... F-43m (216)
Calculated volume ... 62 Å³/f.u.
Crystal system ... cubic
Size of the total moment ... 3.08 μB per formula unit

Cell lengths 4.4329, 4.4329, 4.4329 Å; angles 60.00, 60.00, 60.00 degrees
Site moments in Bohr magnetons follow the coordinates.
Atoms (fractional coordinates):
Co: 0.5000 0.5000 0.5000  1.71
In: 0.7500 0.7500 0.7500  -0.02
Ir: 0.0000 0.0000 0.0000  0.64
Ir: 0.2500 0.2500 0.2500  0.77

***

First-principles (GGA-PBE) data for an optimized crystal structure of SrLiCa2Ga, as listed in Alexandria.

Summary:
Final energy ... -2.17 eV per atom
Space-group type ... P4/mmm (123)
Calculated volume ... 183 Å³/f.u.
Crystal system ... tetragonal
Size of the total moment ... 0.00 μB per formula unit

Cell lengths 5.8982, 5.8982, 5.2699 Å; angles 90.00, 90.00, 90.00 degrees
Atoms (fractional coordinates):
Sr: 0.5000 0.5000 0.5000
Ca: 0.0000 0.5000 0.0000
Ca: 0.5000 0.0000 0.0000
Ga: 0.0000 0.0000 0.0000
Li: 0.0000 0.0000 0.5000

***

First-principles (GGA-PBE) data for an optimized crystal structure of HoMg2Sb, as listed in Alexandria.

Summary:
Final energy ... -3.40 eV per atom
Space-group type ... P4/mmm (123)
Raw formation energy ... -0.431 eV per atom
Calculated volume ... 97 Å³/f.u.
Crystal system ... tetragonal
Size of the total moment ... 0.00 μB per formula unit

Cell lengths 4.8551, 4.4625, 4.4625 Å; angles 90.00, 90.00, 90.00 degrees
Atoms (fractional coordinates):
Sb: 0.5000 0.5000 0.5000
Mg: 0.0000 0.0000 0.5000
Mg: 0.0000 0.5000 0.0000
Ho: 0.5000 0.0000 0.0000

***

Which of these has the highest final energy? SrLiCa2Ga

***

The lowest calculated volume belongs to which entry? InCoIr2